Record 1
LiMnCrRh PBE optimized geometry; space-group type = No. 216; M_tot = 0.215 μB/atom; total DFT energy (no corrections) = -6.99 eV per atom; calculated formation energy = 25.5 meV/atom
1.0
0.000 2.948 2.948
2.948 0.000 2.948
2.948 2.948 0.000
Li Mn Cr Rh
1 1 1 1
direct
0.000 0.000 0.000 Li
0.250 0.250 0.250 Mn
0.500 0.500 0.500 Cr
0.750 0.750 0.750 Rh


Record 2
Li2MnCrS4 PBE optimized geometry; raw formation energy = -0.913 eV/atom; space-group type = No. 10; M_tot = 0.876 μB/atom; total DFT energy (no corrections) = -5.80 eV per atom
1.0
6.108 0.000 0.000
0.000 3.524 0.000
-2.053 0.000 5.980
Li Mn Cr S
2 1 1 4
direct
0.000 0.000 0.000 Li
0.500 0.500 0.000 Li
0.000 0.500 0.500 Mn
0.500 0.000 0.500 Cr
0.247 0.000 0.725 S
0.264 0.500 0.275 S
0.736 0.500 0.725 S
0.753 0.000 0.275 S


Record 3
LiMn4CrS8 PBE optimized geometry; raw formation energy = -0.668 eV/atom; space-group type = No. 160; M_tot = 1.092 μB/atom; total DFT energy (no corrections) = -6.47 eV per atom
1.0
3.488 2.014 5.807
-3.488 2.014 5.807
0.000 -4.027 5.807
Li Mn Cr S
1 4 1 8
direct
0.000 0.000 0.000 Li
0.119 0.629 0.629 Mn
0.253 0.253 0.253 Mn
0.629 0.119 0.629 Mn
0.629 0.629 0.119 Mn
0.629 0.629 0.629 Cr
0.386 0.386 0.844 S
0.386 0.844 0.386 S
0.388 0.388 0.388 S
0.411 0.867 0.867 S
0.844 0.386 0.386 S
0.864 0.864 0.864 S
0.867 0.411 0.867 S
0.867 0.867 0.411 S


Record 4
Li2MnCr2S6 PBE optimized geometry; raw formation energy = -0.858 eV/atom; space-group type = No. 12; M_tot = 0.818 μB/atom; total DFT energy (no corrections) = -6.04 eV per atom
1.0
3.008 -5.209 0.000
3.008 5.209 0.000
-1.947 0.000 6.025
Li Mn Cr S
2 1 2 6
direct
0.162 0.838 0.000 Li
0.838 0.162 0.000 Li
0.000 0.000 0.500 Mn
0.333 0.667 0.500 Cr
0.667 0.333 0.500 Cr
0.068 0.399 0.717 S
0.256 0.256 0.282 S
0.399 0.068 0.717 S
0.601 0.932 0.283 S
0.744 0.744 0.718 S
0.932 0.601 0.283 S


Record 5
Li2MnCrSe4 PBE optimized geometry; raw formation energy = -0.779 eV/atom; space-group type = No. 10; M_tot = 0.875 μB/atom; total DFT energy (no corrections) = -5.35 eV per atom
1.0
6.438 0.000 0.000
0.000 3.718 0.000
-2.155 0.000 6.305
Li Mn Cr Se
2 1 1 4
direct
0.000 0.000 0.000 Li
0.500 0.500 0.000 Li
0.000 0.500 0.500 Mn
0.500 0.000 0.500 Cr
0.247 0.000 0.727 Se
0.263 0.500 0.275 Se
0.737 0.500 0.725 Se
0.753 0.000 0.273 Se


Record 6
Li3MnCr2Se6 PBE optimized geometry; raw formation energy = -0.790 eV/atom; space-group type = No. 12; M_tot = 0.833 μB/atom; total DFT energy (no corrections) = -5.38 eV per atom
1.0
3.221 -5.585 0.000
3.221 5.585 0.000
-2.165 0.000 6.266
Li Mn Cr Se
3 1 2 6
direct
0.000 0.000 0.000 Li
0.337 0.663 0.000 Li
0.663 0.337 0.000 Li
0.500 0.500 0.500 Mn
0.167 0.833 0.500 Cr
0.833 0.167 0.500 Cr
0.086 0.424 0.274 Se
0.237 0.237 0.725 Se
0.424 0.086 0.274 Se
0.576 0.914 0.726 Se
0.763 0.763 0.275 Se
0.914 0.576 0.726 Se